DFT (PBE-GGA) results for crystalline KHfPPd2 at its relaxed geometry.

Output
energy: -4.7861 eV per atom
magnetization: 0.0 μB per formula unit
energy of formation: 0.58 eV/atom
Fermi-level density of states: 3.98 states/eV per cell

Cell lengths 4.5674, 4.5674, 5.2689 Å; angles 90.00, 90.00, 90.00 degrees
Fractional coordinates of all 5 atoms:
K (0.0000, 0.0000, 0.0000)
Hf (0.5000, 0.5000, 0.0000)
P (0.0000, 0.0000, 0.5000)
Pd (0.0000, 0.5000, 0.5000)
Pd (0.5000, 0.0000, 0.5000)